[1]
Entry from the Alexandria database: a relaxed BaSrF3 crystal (PBE-GGA).

The polymorph energy (0 for the lowest one) comes out at 0 kJ/mol of formula units. The spin magnetization is 0.5 μB per cell. The value obtained for the calculated total energy is -24.91 eV per formula unit.

It has space group Pm-3m (No. 221), with a = 4.842 Å, b = 4.842 Å, c = 4.842 Å, α = 90.00°, β = 90.00° and γ = 90.00°. The asymmetric unit holds Ba at (0.000, 0.000, 0.000), Sr at (0.500, 0.500, 0.500) and F at (0.000, 0.500, 0.500).



[2]
Entry from the Alexandria database: a relaxed Ba4SrF10 crystal (PBE-GGA).

The spin magnetization is 0.3 μB per cell. The value obtained for the calculated total energy is -86.37 eV per formula unit.

It has space group I4/m (No. 87), with a = 9.791 Å, b = 9.791 Å, c = 6.196 Å, α = 90.00°, β = 90.00° and γ = 90.00°. The asymmetric unit holds Ba at (0.101, 0.702, 0.000), Sr at (0.000, 0.000, 0.500), F at (0.000, 0.500, 0.250) and F at (0.097, 0.193, 0.259).



[3]
Entry from the Alexandria database: a relaxed Ba3SrF crystal (PBE-GGA).

The polymorph energy (0 for the lowest one) comes out at 578 kJ/mol of formula units. The spin magnetization is 4.6 μB per cell. The value obtained for the calculated total energy is -8.40 eV per formula unit.

It has space group Pm-3m (No. 221), with a = 7.225 Å, b = 7.225 Å, c = 7.225 Å, α = 90.00°, β = 90.00° and γ = 90.00°. The asymmetric unit holds Ba at (0.000, 0.000, 0.500), Sr at (0.000, 0.000, 0.000) and F at (0.500, 0.500, 0.500).



[4]
Entry from the Alexandria database: a relaxed BaSr2F7 crystal (PBE-GGA).

The spin magnetization is 3.5 μB per cell. The value obtained for the calculated total energy is -52.92 eV per formula unit.

It has space group R-3m (No. 166, hexagonal axes), with a = 4.2957 Å, b = 4.2957 Å, c = 35.8295 Å, α = 90.00°, β = 90.00° and γ = 120.00°. The asymmetric unit holds Ba at (0.0000, 0.0000, 0.0000), Sr at (0.0000, 0.0000, 0.4326), F at (0.0000, 0.0000, 0.0760), F at (0.0000, 0.0000, 0.2203), F at (0.0000, 0.0000, 0.3613) and F at (0.0000, 0.0000, 0.5000).



[5]
Entry from the Alexandria database: a relaxed Ba2SrF crystal (PBE-GGA).

The polymorph energy (0 for the lowest one) comes out at 72 kJ/mol of formula units. The spin magnetization is 3.7 μB per cell. The value obtained for the calculated total energy is -11.94 eV per formula unit.

It has space group R-3m (No. 166, hexagonal axes), with a = 4.2340 Å, b = 4.2340 Å, c = 33.3728 Å, α = 90.00°, β = 90.00° and γ = 120.00°. The asymmetric unit holds Ba at (0.0000, 0.0000, 0.1188), Sr at (0.0000, 0.0000, 0.0000) and F at (0.0000, 0.0000, 0.5000).



[6]
Entry from the Alexandria database: a relaxed BaSrF2 crystal (PBE-GGA).

The polymorph energy (0 for the lowest one) comes out at 0 kJ/mol of formula units. The spin magnetization is 0.0 μB per cell. The value obtained for the calculated total energy is -18.84 eV per formula unit.

It has space group R-3m (No. 166, hexagonal axes), with a = 4.4842 Å, b = 4.4842 Å, c = 20.1666 Å, α = 90.00°, β = 90.00° and γ = 120.00°. The asymmetric unit holds Ba at (0.0000, 0.0000, 0.0000), Sr at (0.0000, 0.0000, 0.5000) and F at (0.0000, 0.0000, 0.3787).